This record from Alexandria via LeMat-Bulk describes a relaxed structure of Rb2BeFeAg. The functional is GGA-PBE.

Cell lengths 6.489, 4.955, 6.489 Å; angles 90.00, 90.00, 90.00 degrees
Each line ends with the local moment (μB).
Atoms (fractional coordinates):
Be (0.500, 0.500, 0.500)  -0.05
Rb (0.000, 0.000, 0.500)  -0.01
Rb (0.500, 0.000, 0.000)  -0.01
Ag (0.000, 0.500, 0.000)  0.06
Fe (0.000, 0.000, 0.000)  2.95

## Properties
Space-group type: P4/mmm (123)
M_tot in μB/atom: 0.50
Electronic total energy in eV per atom: -2.17
ΔH_f (0 K) in eV per formula unit: 6.1